1.
Density functional theory data (GGA-PBE) for TlCd2Ge after structural relaxation.

Summary:
Distance to the lowest polymorph of the same formula in eV/atom: 0.0722
ΔH_f (0 K) in eV per atom: 0.2133

abc: 4.3011 4.3011 21.6597
angles: 90.00 90.00 90.00
Last column: nearest neighbours and their distance in Å.
Fractional coordinates of all 16 atoms:
Tl (0.0000, 0.0000, 0.0000)  4 Ge 3.04, 4 Cd 3.12
Tl (0.0000, 0.5000, 0.2500)  4 Ge 3.04, 4 Cd 3.12
Tl (0.5000, 0.0000, 0.7500)  4 Ge 3.04, 4 Cd 3.12
Tl (0.5000, 0.5000, 0.5000)  4 Ge 3.04, 4 Cd 3.12
Cd (0.2383, 0.2500, 0.6250)  4 Cd 2.97-3.11, 2 Ge 3.09, 2 Tl 3.12
Cd (0.2500, 0.7383, 0.8750)  4 Cd 2.97-3.11, 2 Ge 3.09, 2 Tl 3.12
Cd (0.2500, 0.7617, 0.3750)  4 Cd 2.97-3.11, 2 Ge 3.09, 2 Tl 3.12
Cd (0.2617, 0.2500, 0.1250)  4 Cd 2.97-3.11, 2 Ge 3.09, 2 Tl 3.12
Cd (0.7383, 0.7500, 0.1250)  4 Cd 2.97-3.11, 2 Ge 3.09, 2 Tl 3.12
Cd (0.7500, 0.2383, 0.3750)  4 Cd 2.97-3.11, 2 Ge 3.09, 2 Tl 3.12
Cd (0.7500, 0.2617, 0.8750)  4 Cd 2.97-3.11, 2 Ge 3.09, 2 Tl 3.12
Cd (0.7617, 0.7500, 0.6250)  4 Cd 2.97-3.11, 2 Ge 3.09, 2 Tl 3.12
Ge (0.0000, 0.0000, 0.5000)  4 Tl 3.04, 4 Cd 3.09
Ge (0.0000, 0.5000, 0.7500)  4 Tl 3.04, 4 Cd 3.09
Ge (0.5000, 0.0000, 0.2500)  4 Tl 3.04, 4 Cd 3.09
Ge (0.5000, 0.5000, 0.0000)  4 Tl 3.04, 4 Cd 3.09

=====

2.
Density functional theory data (GGA-PBE) for MgTa3S after structural relaxation.

Summary:
Distance to the lowest polymorph of the same formula in eV/atom: 1.8430

abc: 4.7577 4.7577 4.7577
angles: 90.00 90.00 90.00
Last column: nearest neighbours and their distance in Å.
Fractional coordinates of all 5 atoms:
Mg (0.0000, 0.0000, 0.0000)  6 Ta 2.38
Ta (0.0000, 0.0000, 0.5000)  2 Mg 2.38
Ta (0.0000, 0.5000, 0.0000)  2 Mg 2.38
Ta (0.5000, 0.0000, 0.0000)  2 Mg 2.38
S (0.5000, 0.5000, 0.5000)  12 Ta 3.36

=====

3.
Density functional theory data (GGA-PBE) for Cs2CaBe after structural relaxation.

Summary:
ΔH_f (0 K) in eV per atom: 0.6721

abc: 13.6525 13.6525 5.8795
angles: 90.00 90.00 90.00
Last column: nearest neighbours and their distance in Å.
Fractional coordinates of all 16 atoms:
Cs (0.0927, 0.7500, 0.1250)  2 Be 3.71
Cs (0.2500, 0.0927, 0.8750)  2 Be 3.71
Cs (0.2500, 0.4073, 0.3750)  2 Be 3.71
Cs (0.4073, 0.7500, 0.6250)  2 Be 3.71
Cs (0.5927, 0.2500, 0.6250)  2 Be 3.71
Cs (0.7500, 0.5927, 0.3750)  2 Be 3.71
Cs (0.7500, 0.9073, 0.8750)  2 Be 3.71
Cs (0.9073, 0.2500, 0.1250)  2 Be 3.71
Ca (0.0000, 0.0000, 0.5000)  2 Be 2.94
Ca (0.0000, 0.5000, 0.7500)  2 Be 2.94
Ca (0.5000, 0.0000, 0.2500)  2 Be 2.94
Ca (0.5000, 0.5000, 0.0000)  2 Be 2.94
Be (0.0000, 0.0000, 0.0000)  2 Ca 2.94
Be (0.0000, 0.5000, 0.2500)  2 Ca 2.94
Be (0.5000, 0.0000, 0.7500)  2 Ca 2.94
Be (0.5000, 0.5000, 0.5000)  2 Ca 2.94